[1]
# Pr2GePt6Rh, optimized geometry, DFT PBE
# crystal system: monoclinic
data_Pr2GePt6Rh
_symmetry_space_group_name_H-M 'C 1 2/m 1'
_symmetry_Int_Tables_number 12
_symmetry_space_group_name_Hall '-C 2y'
_cell_length_a 11.9605
_cell_length_b 5.3954
_cell_length_c 8.7292
_cell_angle_alpha 90.00
_cell_angle_beta 133.00
_cell_angle_gamma 90.00
loop_
_atom_site_label
_atom_site_fract_x
_atom_site_fract_y
_atom_site_fract_z
Pr1 0.2316 0.0000 0.1947
Ge1 0.0000 0.0000 0.5000
Pt1 0.0066 0.2516 0.7484
Pt2 0.2493 0.0000 0.5954
Rh1 0.0000 0.5000 0.0000

[2]
# LaSn2Au2, optimized geometry, DFT PBE
# crystal system: tetragonal
data_LaSn2Au2
_symmetry_space_group_name_H-M 'P 4/m b m'
_symmetry_Int_Tables_number 127
_symmetry_space_group_name_Hall '-P 4 2ab'
_cell_length_a 7.9773
_cell_length_b 7.9773
_cell_length_c 3.9340
_cell_angle_alpha 90.00
_cell_angle_beta 90.00
_cell_angle_gamma 90.00
loop_
_atom_site_label
_atom_site_fract_x
_atom_site_fract_y
_atom_site_fract_z
La1 0.0000 0.0000 0.0000
Sn1 0.1825 0.3175 0.5000
Au1 0.1233 0.6233 0.0000

[3]
# YFe2Sb2, optimized geometry, DFT PBE
# energy above the lowest structure with this stoichiometry: 0 meV/atom
# uncorrected formation energy: -0.213 eV/atom
# crystal system: tetragonal
data_YFe2Sb2
_symmetry_space_group_name_H-M 'I 4/m m m'
_symmetry_Int_Tables_number 139
_symmetry_space_group_name_Hall '-I 4 2'
_cell_length_a 4.2329
_cell_length_b 4.2329
_cell_length_c 10.8507
_cell_angle_alpha 90.00
_cell_angle_beta 90.00
_cell_angle_gamma 90.00
loop_
_atom_site_label
_atom_site_fract_x
_atom_site_fract_y
_atom_site_fract_z
Y1 0.0000 0.0000 0.0000
Fe1 0.0000 0.5000 0.2500
Sb1 0.0000 0.0000 0.3661

Number 1: VASP energy -129.3 eV for the cell shown. Number 2: VASP energy -43.4 eV for the cell shown. Number 3: VASP energy -65.4 eV for the cell shown.